1.
First-principles (PBE) data for BaMgCr2 after structural relaxation, as listed in Alexandria via LeMat-Bulk.

a = 6.8713 Å, b = 6.8713 Å, c = 6.8713 Å
α = 103.52°, β = 103.52°, γ = 122.18°
With the nearest neighbours (Å) after each atom.
Fractional coordinates of all 8 atoms:
1 Ba 0.0000 0.0000 0.0000  2 Mg 3.32, 8 Cr 3.41-3.70
2 Ba 0.7500 0.2500 0.5000  2 Mg 3.32, 8 Cr 3.41-3.70
3 Mg 0.2500 0.7500 0.5000  4 Cr 2.86
4 Mg 0.5000 0.5000 0.0000  4 Cr 2.86
5 Cr 0.1734 0.6250 0.0484  2 Mg 2.86
6 Cr 0.3750 0.4234 0.5484  2 Mg 2.86
7 Cr 0.5766 0.1250 0.9516  2 Mg 2.86
8 Cr 0.8750 0.8266 0.4516  2 Mg 2.86

Values from the calculation:
- electronic total energy (eV per atom) = -4.6491
- magnetic moment (μB per formula unit) = 9.2
- Fermi-level density of states (states/eV/f.u.) = 3.36

2.
First-principles (PBE) data for Pr2Nd8Tl3 after structural relaxation, as listed in Alexandria via LeMat-Bulk.

a = 8.6243 Å, b = 8.6243 Å, c = 6.9608 Å
α = 97.45°, β = 97.45°, γ = 61.66°
With the nearest neighbours (Å) after each atom.
Fractional coordinates of all 13 atoms:
1 Pr 0.1910 0.1910 0.2745  5 Nd 3.27-3.64, 3 Tl 3.44-3.52
2 Pr 0.8090 0.8090 0.7255  5 Nd 3.27-3.64, 3 Tl 3.44-3.52
3 Nd 0.1843 0.1843 0.7945  1 Tl 3.16, 1 Pr 3.33
4 Nd 0.2050 0.5715 0.5757  2 Nd 3.24-3.62, 1 Pr 3.27, 2 Tl 3.33-3.40
5 Nd 0.4054 0.4054 0.0963  2 Nd 3.28-3.61, 2 Tl 3.32, 1 Pr 3.58
6 Nd 0.4285 0.7950 0.4243  2 Nd 3.24-3.62, 1 Pr 3.27, 2 Tl 3.33-3.40
7 Nd 0.5715 0.2050 0.5757  2 Nd 3.24-3.62, 1 Pr 3.27, 2 Tl 3.33-3.40
8 Nd 0.5946 0.5946 0.9037  2 Nd 3.28-3.61, 2 Tl 3.32, 1 Pr 3.58
9 Nd 0.7950 0.4285 0.4243  2 Nd 3.24-3.62, 1 Pr 3.27, 2 Tl 3.33-3.40
10 Nd 0.8157 0.8157 0.2055  1 Tl 3.16, 1 Pr 3.33
11 Tl 0.0000 0.0000 0.5000  6 Nd 3.16-3.33, 2 Pr 3.44
12 Tl 0.1740 0.8260 0.0000  1 Tl 3.08, 4 Nd 3.32-3.40
13 Tl 0.8260 0.1740 0.0000  1 Tl 3.08, 4 Nd 3.32-3.40

Values from the calculation:
- electronic total energy (eV per atom) = -4.1642
- magnetic moment (μB per formula unit) = 0.0
- Fermi-level density of states (states/eV/f.u.) = 17.64

3.
First-principles (PBE) data for KLaBr4 after structural relaxation, as listed in Alexandria via LeMat-Bulk.

a = 8.6977 Å, b = 8.6977 Å, c = 7.5223 Å
α = 108.66°, β = 108.66°, γ = 109.64°
With the nearest neighbours (Å) after each atom.
Fractional coordinates of all 12 atoms:
1 K 0.1373 0.8627 0.7500  8 Br 3.41-3.54
2 K 0.8627 0.1373 0.2500  8 Br 3.41-3.54
3 La 0.4924 0.5076 0.2500  8 Br 3.08-3.13
4 La 0.5076 0.4924 0.7500  8 Br 3.08-3.13
5 Br 0.1627 0.2836 0.7883  2 La 3.10
6 Br 0.2330 0.5575 0.4338  2 La 3.08-3.13, 1 K 3.41
7 Br 0.2836 0.1627 0.2883  2 La 3.10
8 Br 0.4425 0.7670 0.0662  2 La 3.08-3.13, 1 K 3.41
9 Br 0.5575 0.2330 0.9338  2 La 3.08-3.13, 1 K 3.41
10 Br 0.7164 0.8373 0.7117  2 La 3.10
11 Br 0.7670 0.4425 0.5662  2 La 3.08-3.13, 1 K 3.41
12 Br 0.8373 0.7164 0.2117  2 La 3.10

Values from the calculation:
- energy relative to the elements, uncorrected (eV per atom) = -1.87
- magnetic moment (μB per formula unit) = 0.0
- Fermi-level density of states (states/eV/f.u.) = 0.00

4.
First-principles (PBE) data for VTc4Ge after structural relaxation, as listed in Alexandria via LeMat-Bulk.

a = 5.0611 Å, b = 5.0611 Å, c = 5.4751 Å
α = 122.24°, β = 122.24°, γ = 49.04°
With the nearest neighbours (Å) after each atom.
Fractional coordinates of all 6 atoms:
1 V 0.0000 0.0000 0.0000  6 Tc 2.59-2.64, 2 Ge 2.74
2 Tc 0.3286 0.3286 0.6845  1 Ge 2.57, 2 V 2.59, 5 Tc 2.68-2.77
3 Tc 0.3376 0.3376 0.1876  2 Ge 2.56, 1 V 2.64, 5 Tc 2.71-2.77
4 Tc 0.6624 0.6624 0.8124  2 Ge 2.56, 1 V 2.64, 5 Tc 2.71-2.77
5 Tc 0.6714 0.6714 0.3155  1 Ge 2.57, 2 V 2.59, 5 Tc 2.68-2.77
6 Ge 0.0000 0.0000 0.5000  6 Tc 2.56-2.57, 2 V 2.74

Values from the calculation:
- electronic total energy (eV per atom) = -9.2982
- magnetic moment (μB per formula unit) = 0.0
- Fermi-level density of states (states/eV/f.u.) = 5.52

5.
First-principles (PBE) data for Tb8Sm2Ho3 after structural relaxation, as listed in Alexandria via LeMat-Bulk.

a = 10.9353 Å, b = 10.9353 Å, c = 5.5814 Å
α = 90.02°, β = 90.02°, γ = 40.78°
With the nearest neighbours (Å) after each atom.
Fractional coordinates of all 13 atoms:
1 Tb 0.1047 0.6827 0.9998  1 Ho 3.10, 3 Tb 3.22-3.44
2 Tb 0.1645 0.1645 0.5006  2 Sm 3.40, 4 Tb 3.43-3.44, 2 Ho 3.75
3 Tb 0.3173 0.8953 0.0002  1 Ho 3.10, 3 Tb 3.22-3.44
4 Tb 0.3697 0.3697 0.5001  2 Ho 3.45, 4 Tb 3.59, 2 Sm 3.59-3.60
5 Tb 0.6303 0.6303 0.4999  2 Ho 3.45, 4 Tb 3.59, 2 Sm 3.59-3.60
6 Tb 0.6827 0.1047 0.9998  1 Ho 3.10, 3 Tb 3.22-3.44
7 Tb 0.8355 0.8355 0.4994  2 Sm 3.40, 4 Tb 3.43-3.44, 2 Ho 3.75
8 Tb 0.8953 0.3173 0.0002  1 Ho 3.10, 3 Tb 3.22-3.44
9 Sm 0.2590 0.2590 0.0007  8 Tb 3.40-3.60
10 Sm 0.7410 0.7410 0.9993  8 Tb 3.40-3.60
11 Ho 0.2141 0.7859 0.5000  3 Ho 3.26-3.54, 6 Tb 3.45-3.54
12 Ho 0.5000 0.5000 0.0000  4 Tb 3.10
13 Ho 0.7859 0.2141 0.5000  3 Ho 3.26-3.54, 6 Tb 3.45-3.54

Values from the calculation:
- electronic total energy (eV per atom) = -4.3999
- magnetic moment (μB per formula unit) = 0.0
- Fermi-level density of states (states/eV/f.u.) = 22.12

6.
First-principles (PBE) data for Pr2Nd8Sn after structural relaxation, as listed in Alexandria via LeMat-Bulk.

a = 8.3633 Å, b = 8.3633 Å, c = 7.5745 Å
α = 104.63°, β = 104.63°, γ = 48.54°
With the nearest neighbours (Å) after each atom.
Fractional coordinates of all 11 atoms:
1 Pr 0.2370 0.2370 0.2708  6 Nd 3.32-3.72, 1 Sn 3.63
2 Pr 0.7630 0.7630 0.7292  6 Nd 3.32-3.72, 1 Sn 3.63
3 Nd 0.1756 0.1756 0.7612  3 Nd 3.43-3.48, 1 Sn 3.62, 3 Pr 3.71-3.72
4 Nd 0.1886 0.6677 0.6354  1 Sn 3.22, 5 Nd 3.29-3.58, 1 Pr 3.32
5 Nd 0.3323 0.8114 0.3646  1 Sn 3.22, 5 Nd 3.29-3.58, 1 Pr 3.32
6 Nd 0.3946 0.3946 0.0430  1 Pr 3.32, 6 Nd 3.43-3.66
7 Nd 0.6054 0.6054 0.9570  1 Pr 3.32, 6 Nd 3.43-3.66
8 Nd 0.6677 0.1886 0.6354  1 Sn 3.22, 5 Nd 3.29-3.58, 1 Pr 3.32
9 Nd 0.8114 0.3323 0.3646  1 Sn 3.22, 5 Nd 3.29-3.58, 1 Pr 3.32
10 Nd 0.8244 0.8244 0.2388  3 Nd 3.43-3.48, 1 Sn 3.62, 3 Pr 3.71-3.72
11 Sn 0.0000 0.0000 0.0000  4 Nd 3.22

Values from the calculation:
- electronic total energy (eV per atom) = -4.7149
- magnetic moment (μB per formula unit) = 0.0
- Fermi-level density of states (states/eV/f.u.) = 13.80